(1)
A crystal of As2PtBr relaxed with PBEsol. Source: Alexandria via LeMat-Bulk, functional meta-GGA SCAN.

Lattice parameters (Å, degrees): 3.007 4.818 10.660 90.00 90.00 90.00
Space group Immm (No. 71)
One atom of each set of equivalent atoms:
As  0.000  0.000  0.200 [4 per cell]
Pt  0.000  0.500  0.500 [2 per cell]
Br  0.000  0.500  0.000 [2 per cell]

- N(E_F): 6.38 states/eV per cell
- Energy relative to the lowest polymorph listed for this composition: 602 meV per atom
- Formation energy from raw total energies: 31.5 kJ/mol of atoms
- Raw total energy: -32.1816 eV per atom



(2)
A crystal of As4PtBr relaxed with PBEsol. Source: Alexandria via LeMat-Bulk, functional meta-GGA SCAN.

Lattice parameters (Å, degrees): 7.799 7.799 7.799 90.00 90.00 90.00
Space group F-43m (No. 216)
One atom of each set of equivalent atoms:
As  0.117  0.117  0.383 [16 per cell]
Pt  0.000  0.000  0.000 [4 per cell]
Br  0.250  0.250  0.750 [4 per cell]

- N(E_F): 23.07 states/eV per cell
- Formation energy from raw total energies: 72.8 kJ/mol of atoms
- Raw total energy: -27.6485 eV per atom



(3)
A crystal of AsPtBr2 relaxed with PBEsol. Source: Alexandria via LeMat-Bulk, functional meta-GGA SCAN.

Lattice parameters (Å, degrees): 4.569 4.569 16.970 90.00 90.00 90.00
Space group I-42d (No. 122)
One atom of each set of equivalent atoms:
As  0.000  0.000  0.000 [4 per cell]
Pt  0.000  0.000  0.500 [4 per cell]
Br  0.238  0.250  0.625 [8 per cell]

- N(E_F): 7.90 states/eV per cell
- Energy relative to the lowest polymorph listed for this composition: 19 meV per atom
- Formation energy from raw total energies: 61.0 kJ/mol of atoms
- Raw total energy: -31.6935 eV per atom



(4)
A crystal of AsPtBr2 relaxed with PBEsol. Source: Alexandria via LeMat-Bulk, functional meta-GGA SCAN.

Lattice parameters (Å, degrees): 3.129 4.423 5.778 90.00 90.00 90.00
Space group Pmmm (No. 47)
One atom of each set of equivalent atoms:
As  0.000  0.000  0.000 [1 per cell]
Pt  0.500  0.000  0.500 [1 per cell]
Br  0.000  0.500  0.500 [1 per cell]
Br  0.500  0.500  0.000 [1 per cell]

- N(E_F): 1.36 states/eV per cell
- Energy relative to the lowest polymorph listed for this composition: 0 meV per atom
- Formation energy from raw total energies: 59.2 kJ/mol of atoms
- Raw total energy: -31.7126 eV per atom



(5)
A crystal of AsPtBr2 relaxed with PBEsol. Source: Alexandria via LeMat-Bulk, functional meta-GGA SCAN.

Lattice parameters (Å, degrees): 3.347 3.347 6.884 90.00 90.00 90.00
Space group P4/mmm (No. 123)
One atom of each set of equivalent atoms:
As  0.000  0.000  0.000 [1 per cell]
Pt  0.000  0.000  0.500 [1 per cell]
Br  0.500  0.500  0.257 [2 per cell]

- N(E_F): 1.84 states/eV per cell
- Energy relative to the lowest polymorph listed for this composition: 276 meV per atom
- Formation energy from raw total energies: 85.8 kJ/mol of atoms
- Raw total energy: -31.4363 eV per atom



(6)
A crystal of AsPtRhBr2 relaxed with PBEsol. Source: Alexandria via LeMat-Bulk, functional meta-GGA SCAN.

Lattice parameters (Å, degrees): 4.950 4.950 4.576 90.00 90.00 90.00
Space group P4/mmm (No. 123)
One atom of each set of equivalent atoms:
As  0.000  0.000  0.000 [1 per cell]
Pt  0.500  0.500  0.000 [1 per cell]
Rh  0.000  0.000  0.500 [1 per cell]
Br  0.000  0.500  0.500 [2 per cell]

- N(E_F): 3.93 states/eV per cell
- Formation energy from raw total energies: 80.4 kJ/mol of atoms
- Raw total energy: -31.7815 eV per atom



(7)
A crystal of Rb3AsBr relaxed with PBEsol. Source: Alexandria via LeMat-Bulk, functional meta-GGA SCAN.

Lattice parameters (Å, degrees): 6.250 6.250 6.250 90.00 90.00 90.00
Space group Pm-3m (No. 221)
One atom of each set of equivalent atoms:
Rb  0.000  0.000  0.500 [3 per cell]
As  0.500  0.500  0.500 [1 per cell]
Br  0.000  0.000  0.000 [1 per cell]

- N(E_F): 4.27 states/eV per cell
- Formation energy from raw total energies: -65.3 kJ/mol of atoms
- Raw total energy: -21.0508 eV per atom



(8)
A crystal of Rb3AsBr6 relaxed with PBEsol. Source: Alexandria via LeMat-Bulk, functional meta-GGA SCAN.

Lattice parameters (Å, degrees): 11.539 11.539 11.539 90.00 90.00 90.00
Space group Fm-3m (No. 225)
One atom of each set of equivalent atoms:
Rb  0.000  0.000  0.000 [4 per cell]
Rb  0.250  0.250  0.250 [8 per cell]
As  0.000  0.000  0.500 [4 per cell]
Br  0.000  0.000  0.273 [24 per cell]

- N(E_F): 0.00 states/eV per cell
- Formation energy from raw total energies: -127.1 kJ/mol of atoms
- Raw total energy: -21.2343 eV per atom